a.
Ta3Pb5: optimized geometry, GGA-PBE.

Lattice parameters (Å, degrees): 8.6855 8.6855 5.8420 90.00 90.00 120.00
Space group P6_3/mcm (No. 193)
Inequivalent atoms, fractional coordinates:
Ta: 0.0000 0.4009 0.2500 [6 per cell]
Pb: 0.0000 0.2395 0.7500 [6 per cell]
Pb: 0.3333 0.6667 0.0000 [4 per cell]

**Magnetic moment**: 0.00 μB/atom

b.
Ta3Pb5: optimized geometry, GGA-PBE.

Lattice parameters (Å, degrees): 8.2111 9.3304 5.2305 90.00 90.00 90.00
Space group Cmmm (No. 65)
Inequivalent atoms, fractional coordinates:
Ta: 0.0000 0.0000 0.0000 [2 per cell]
Ta: 0.1617 0.0000 0.5000 [4 per cell]
Pb: 0.0000 0.2913 0.5000 [4 per cell]
Pb: 0.0000 0.5000 0.0000 [2 per cell]
Pb: 0.2500 0.2500 0.0000 [4 per cell]

**Magnetic moment**: 0.00 μB/atom

The most stable arrangement is b, and the next structure is 12.9 kJ/mol of atoms less stable.